A plane-wave DFT calculation with PBE was carried out for a geometry-optimized SiSbMo2I structure.

VASP energy = -4.7833 eV per atom
ΔE_f (raw) = 1.768 eV per atom

Cell lengths 5.2738, 5.2738, 5.1438 Å; angles 90.00, 90.00, 90.00 degrees
Closest atoms and distances in Å follow each position.
Fractional positions:
Si1 0.0000 0.0000 0.0000  2 Sb 2.57
Sb1 0.0000 0.0000 0.5000  2 Si 2.57, 4 Mo 2.64
Mo1 0.0000 0.5000 0.5000  2 Sb 2.64
Mo2 0.5000 0.0000 0.5000  2 Sb 2.64
I1 0.5000 0.5000 0.0000  8 Mo 3.68, 4 Si 3.73

A plane-wave DFT calculation with PBE was carried out for a geometry-optimized SrSb2MoI structure.

VASP energy = -4.5374 eV per atom
excess energy over the best structure of this formula in the dataset = 0.0000 eV per atom
ΔE_f (raw) = -0.076 eV per atom

Cell lengths 5.2132, 5.2132, 6.0314 Å; angles 90.00, 90.00, 90.00 degrees
Closest atoms and distances in Å follow each position.
Fractional positions:
Sr1 0.0000 0.0000 0.0000  4 I 3.69, 8 Sb 3.99
Sb1 0.0000 0.5000 0.5000  2 Mo 2.61
Sb2 0.5000 0.0000 0.5000  2 Mo 2.61
Mo1 0.5000 0.5000 0.5000  4 Sb 2.61
I1 0.5000 0.5000 0.0000  2 Mo 3.02

A plane-wave DFT calculation with PBE was carried out for a geometry-optimized SrSb2MoI structure.

VASP energy = -3.2708 eV per atom
excess energy over the best structure of this formula in the dataset = 1.2666 eV per atom
ΔE_f (raw) = 1.191 eV per atom

Cell lengths 6.1645, 6.1645, 6.0870 Å; angles 90.00, 90.00, 90.00 degrees
Closest atoms and distances in Å follow each position.
Fractional positions:
Sr1 0.0000 0.0000 0.0000  2 I 3.04, 4 Sb 3.08
Sb1 0.0000 0.5000 0.0000  2 Sr 3.08
Sb2 0.5000 0.0000 0.0000  2 Sr 3.08
Mo1 0.5000 0.5000 0.5000  8 Sb 4.33, 4 I 4.36
I1 0.0000 0.0000 0.5000  2 Sr 3.04

A plane-wave DFT calculation with PBE was carried out for a geometry-optimized TaSbMoI2 structure.

VASP energy = -4.7698 eV per atom
excess energy over the best structure of this formula in the dataset = 0.0000 eV per atom
ΔE_f (raw) = 1.211 eV per atom

Cell lengths 5.4817, 5.4817, 5.5243 Å; angles 90.00, 90.00, 90.00 degrees
Closest atoms and distances in Å follow each position.
Fractional positions:
Ta1 0.0000 0.0000 0.0000  4 I 2.74, 2 Sb 2.76
Sb1 0.0000 0.0000 0.5000  2 Ta 2.76
Mo1 0.5000 0.5000 0.5000  4 Sb 3.88, 8 I 3.89
I1 0.0000 0.5000 0.0000  2 Ta 2.74
I2 0.5000 0.0000 0.0000  2 Ta 2.74

A plane-wave DFT calculation with PBE was carried out for a geometry-optimized TaSbMoI2 structure.

VASP energy = -4.7463 eV per atom
excess energy over the best structure of this formula in the dataset = 0.0235 eV per atom
ΔE_f (raw) = 1.235 eV per atom

Cell lengths 5.3008, 5.3008, 5.0719 Å; angles 90.00, 90.00, 90.00 degrees
Closest atoms and distances in Å follow each position.
Fractional positions:
Ta1 0.0000 0.0000 0.0000  2 Mo 2.54
Sb1 0.5000 0.5000 0.0000  8 I 3.67, 4 Ta 3.75
Mo1 0.0000 0.0000 0.5000  2 Ta 2.54, 4 I 2.65
I1 0.0000 0.5000 0.5000  2 Mo 2.65
I2 0.5000 0.0000 0.5000  2 Mo 2.65

A plane-wave DFT calculation with PBE was carried out for a geometry-optimized SbTeMoI2 structure.

VASP energy = -3.2396 eV per atom
excess energy over the best structure of this formula in the dataset = 0.4590 eV per atom
ΔE_f (raw) = 0.999 eV per atom

Cell lengths 5.9202, 5.9202, 5.8967 Å; angles 90.00, 90.00, 90.00 degrees
Closest atoms and distances in Å follow each position.
Fractional positions:
Sb1 0.0000 0.0000 0.0000  2 Te 2.95, 4 I 2.96
Te1 0.0000 0.0000 0.5000  2 Sb 2.95
Mo1 0.5000 0.5000 0.5000  8 I 4.18, 4 Te 4.19
I1 0.0000 0.5000 0.0000  2 Sb 2.96
I2 0.5000 0.0000 0.0000  2 Sb 2.96

A plane-wave DFT calculation with PBE was carried out for a geometry-optimized SbTeMoI2 structure.

VASP energy = -3.6520 eV per atom
excess energy over the best structure of this formula in the dataset = 0.0466 eV per atom
ΔE_f (raw) = 0.587 eV per atom

Cell lengths 5.4969, 5.4969, 5.3500 Å; angles 90.00, 90.00, 90.00 degrees
Closest atoms and distances in Å follow each position.
Fractional positions:
Sb1 0.0000 0.0000 0.0000  8 I 3.84, 4 Te 3.89
Te1 0.5000 0.5000 0.0000  2 Mo 2.68
Mo1 0.5000 0.5000 0.5000  2 Te 2.68, 4 I 2.75
I1 0.0000 0.5000 0.5000  2 Mo 2.75
I2 0.5000 0.0000 0.5000  2 Mo 2.75

A plane-wave DFT calculation with PBE was carried out for a geometry-optimized Sb2TeMoI structure.

VASP energy = -4.4594 eV per atom
excess energy over the best structure of this formula in the dataset = 0.0000 eV per atom
ΔE_f (raw) = 0.294 eV per atom

Cell lengths 5.3629, 5.3629, 5.1872 Å; angles 90.00, 90.00, 90.00 degrees
Closest atoms and distances in Å follow each position.
Fractional positions:
Sb1 0.0000 0.5000 0.0000  2 Mo 2.68
Sb2 0.5000 0.0000 0.0000  2 Mo 2.68
Te1 0.0000 0.0000 0.5000  2 Mo 2.59
Mo1 0.0000 0.0000 0.0000  2 Te 2.59, 4 Sb 2.68
I1 0.5000 0.5000 0.5000  8 Sb 3.73, 4 Te 3.79

Number 1: DOS at the Fermi energy 5.727 states/eV/cell, mass density 5.44 g/cm³. Number 2: DOS at the Fermi energy 4.238 states/eV/cell, mass density 5.61 g/cm³. Number 3: DOS at the Fermi energy 5.636 states/eV/cell, mass density 3.98 g/cm³. Number 4: DOS at the Fermi energy 2.530 states/eV/cell, mass density 6.53 g/cm³. Number 5: DOS at the Fermi energy 5.935 states/eV/cell, mass density 7.60 g/cm³. Number 6: DOS at the Fermi energy 3.948 states/eV/cell, mass density 4.81 g/cm³. Number 7: DOS at the Fermi energy 5.341 states/eV/cell, mass density 6.15 g/cm³. Number 8: DOS at the Fermi energy 3.075 states/eV/cell, mass density 6.61 g/cm³.